Record 1
GdMgAu: relaxed, GGA-PBE.

abc: 4.8098 4.8098 6.7615
angles: 90.00 90.00 120.00
Closest atoms and distances in Å follow each position.
Sites, in units of the cell vectors:
Au1 0.6667 0.3333 0.9876  3 Mg 2.78
Mg1 0.6667 0.3333 0.5084  3 Au 2.78
Gd1 0.0000 0.0000 0.2540  6 Au 3.19-3.31, 6 Mg 3.24-3.27, 2 Gd 3.38
Mg2 0.3333 0.6667 0.0084  3 Au 2.78
Au2 0.3333 0.6667 0.4876  3 Mg 2.78
Gd2 0.0000 0.0000 0.7540  6 Au 3.19-3.31, 6 Mg 3.24-3.27, 2 Gd 3.38

## Properties
Total magnetic moment: 0.000 μB per atom
Space-group type: P6_3mc (186)
V: 135.5 Å³/cell
DFT total energy: -0.27426 Ry/atom
Crystal system: hexagonal



Record 2
GdGaSiPt2: relaxed, GGA-PBE.

abc: 4.1963 4.1963 10.3051
angles: 90.00 90.00 90.00
Closest atoms and distances in Å follow each position.
Sites, in units of the cell vectors:
Pt1 0.0000 0.0000 0.0000  4 Si 2.48
Si1 0.0000 0.5000 0.8721  5 Pt 2.33-2.48
Gd1 0.0000 0.5000 0.2499  8 Pt 3.16-3.32, 4 Si 3.22, 4 Ga 3.32
Gd2 0.5000 0.0000 0.7501  8 Pt 3.16-3.32, 4 Si 3.22, 4 Ga 3.32
Pt2 0.0000 0.5000 0.6455  1 Si 2.33, 4 Ga 2.58
Pt3 0.5000 0.5000 0.0000  4 Si 2.48
Si2 0.5000 0.0000 0.1279  5 Pt 2.33-2.48
Ga1 0.5000 0.5000 0.5000  4 Pt 2.58
Pt4 0.5000 0.0000 0.3545  1 Si 2.33, 4 Ga 2.58
Ga2 0.0000 0.0000 0.5000  4 Pt 2.58

## Properties
Total magnetic moment: 0.000 μB per atom
Space-group type: P4/nmm (129)
V: 181.5 Å³/cell
DFT total energy: -0.44893 Ry/atom
Crystal system: tetragonal
Energy relative to the lowest polymorph listed for this composition: 0.0 kJ/mol of atoms



- Look up the DFT total energy of the first one.
  -0.27426 Ry/atom